Here is Ni2SnO3 after structural relaxation from Alexandria via LeMat-Bulk. Energies are from PBE with a Hubbard U.

Unit cell a=9.561 b=5.482 c=6.571 alpha=106.90 beta=136.68 gamma=90.00
Each line ends with the local moment (μB).
Positions (direct):
O1 0.136 0.548 0.326  0.09
O2 0.191 0.048 0.326  0.09
O3 0.513 0.750 0.000  0.18
O4 0.487 0.250 0.000  0.18
O5 0.809 0.952 0.674  0.09
O6 0.864 0.452 0.674  0.09
Sn1 0.883 0.750 0.000  0.01
Sn2 0.117 0.250 0.000  0.01
Ni1 0.705 0.603 0.336  1.76
Ni2 0.295 0.397 0.664  1.76
Ni3 0.368 0.897 0.664  1.76
Ni4 0.632 0.103 0.336  1.76

Calculated values
- total DFT energy (no corrections) (eV/atom) = -4.879
- DOS at the Fermi energy (states/eV/f.u.) = 0.00